Record 1
Compound: KTbPt10
Source: Alexandria via LeMat-Bulk
Functional: PBE
Structure: optimized geometry

POSCAR file:
```
KTbPt10
1.0
4.4046 0.0000 0.0000
0.0000 5.4548 0.0000
0.0000 0.0000 9.3677
K Tb Pt
1 1 10
Direct
0.0000 0.0000 0.0000
0.0000 0.5000 0.5000
0.0000 0.0000 0.3382
0.0000 0.5000 0.8268
0.0000 0.5000 0.1732
0.0000 0.0000 0.6618
0.5000 0.0000 0.5000
0.5000 0.5000 0.0000
0.5000 0.2538 0.2567
0.5000 0.7462 0.7433
0.5000 0.7462 0.2567
0.5000 0.2538 0.7433
```

Density of states at the Fermi level ... 7.1 states/eV/cell
Magnetization ... 0.0 Bohr magnetons per cell
Raw total energy ... -71.04 eV for the cell shown
Calculated formation energy ... -409 meV/atom
Volume ... 18.756 Å³/atom

***

Record 2
Compound: KTb2Pt9
Source: Alexandria via LeMat-Bulk
Functional: PBE
Structure: optimized geometry

POSCAR file:
```
KTb2Pt9
1.0
5.2614 0.0000 1.5659
2.3977 4.6833 1.5659
0.0961 0.0588 9.2992
K Tb Pt
1 2 9
Direct
0.0000 0.0000 0.0000
0.8620 0.8620 0.4141
0.1380 0.1380 0.5859
0.6681 0.6681 0.9956
0.3319 0.3319 0.0044
0.5000 0.5000 0.5000
0.4118 0.4118 0.2570
0.9194 0.4118 0.2570
0.4118 0.9194 0.2570
0.5882 0.5882 0.7430
0.5882 0.0806 0.7430
0.0806 0.5882 0.7430
```

Density of states at the Fermi level ... 8.9 states/eV/cell
Magnetization ... 0.0 Bohr magnetons per cell
Raw total energy ... -72.94 eV for the cell shown
Calculated formation energy ... -684 meV/atom
Volume ... 19.014 Å³/atom

***

Record 3
Compound: KTc2Pt
Source: Alexandria via LeMat-Bulk
Functional: PBE
Structure: optimized geometry

POSCAR file:
```
KTc2Pt
1.0
2.6909 -0.0118 0.0000
-0.3895 2.6626 0.0000
0.0000 0.0000 10.1584
K Pt Tc
1 1 2
Direct
0.5000 0.5000 0.2500
0.5000 0.5000 0.7500
0.0000 0.0000 0.9559
0.0000 0.0000 0.5441
```

Density of states at the Fermi level ... 4.1 states/eV/cell
Magnetization ... 0.0 Bohr magnetons per cell
Raw total energy ... -24.82 eV for the cell shown
Calculated formation energy ... 763 meV/atom
Volume ... 18.184 Å³/atom
ΔE to the lowest computed polymorph ... 0.351 eV/atom

***

Record 4
Compound: KTc2Pt
Source: Alexandria via LeMat-Bulk
Functional: PBE
Structure: optimized geometry

POSCAR file:
```
KTc2Pt
1.0
-4.0723 -0.7719 -0.1188
0.6272 -3.6083 1.9443
-2.8230 2.2832 9.5695
K Tc Pt
2 4 2
Direct
0.5000 0.5000 0.0000
0.2500 0.7500 0.5000
0.7313 0.1250 0.2500
0.0187 0.6250 0.2500
0.3750 0.2687 0.7500
0.8750 0.9813 0.7500
0.0000 0.0000 0.0000
0.7500 0.2500 0.5000
```

Density of states at the Fermi level ... 9.8 states/eV/cell
Magnetization ... 0.0 Bohr magnetons per cell
Raw total energy ... -46.80 eV for the cell shown
Calculated formation energy ... 1117 meV/atom
Volume ... 21.076 Å³/atom
ΔE to the lowest computed polymorph ... 0.705 eV/atom

***

Record 5
Compound: KTc2Pt2
Source: Alexandria via LeMat-Bulk
Functional: PBE
Structure: optimized geometry

POSCAR file:
```
KTc2Pt2
1.0
-2.2018 2.7289 -3.0396
2.4649 -1.8660 -3.4607
-3.2041 -2.9033 -3.8279
K Tc Pt
1 2 2
Direct
0.0000 0.0000 0.0000
0.3845 0.3845 0.2310
0.6155 0.6155 0.7690
0.7500 0.2500 0.5000
0.2500 0.7500 0.5000
```

Density of states at the Fermi level ... 6.5 states/eV/cell
Magnetization ... 0.0 Bohr magnetons per cell
Raw total energy ... -31.45 eV for the cell shown
Calculated formation energy ... 491 meV/atom
Volume ... 20.466 Å³/atom
ΔE to the lowest computed polymorph ... 0.304 eV/atom

***

Record 6
Compound: KTcPt
Source: Alexandria via LeMat-Bulk
Functional: PBE
Structure: optimized geometry

POSCAR file:
```
KTcPt
1.0
2.8571 0.0000 0.0000
-1.4286 2.4744 0.0000
0.0000 0.0000 8.0677
K Pt Tc
1 1 1
Direct
0.0000 0.0000 0.0082
0.6667 0.3333 0.3632
0.3333 0.6667 0.6286
```

Density of states at the Fermi level ... 4.8 states/eV/cell
Magnetization ... 0.0 Bohr magnetons per cell
Raw total energy ... -15.38 eV for the cell shown
Calculated formation energy ... 707 meV/atom
Volume ... 19.012 Å³/atom
ΔE to the lowest computed polymorph ... 0.568 eV/atom

***

Record 7
Compound: KTc2Pt
Source: Alexandria via LeMat-Bulk
Functional: PBE
Structure: optimized geometry

POSCAR file:
```
KTc2Pt
1.0
-2.6760 0.3577 0.4057
-0.7552 -2.3101 -2.9439
-0.0885 -6.2508 4.9277
K Pt Tc
1 1 2
Direct
0.0000 0.0000 0.5130
0.5000 0.5000 0.8227
0.0000 0.0000 0.0088
0.5000 0.5000 0.1555
```

Density of states at the Fermi level ... 5.0 states/eV/cell
Magnetization ... 0.0 Bohr magnetons per cell
Raw total energy ... -25.91 eV for the cell shown
Calculated formation energy ... 491 meV/atom
Volume ... 20.740 Å³/atom
ΔE to the lowest computed polymorph ... 0.079 eV/atom

***

Record 8
Compound: KTcPt3
Source: Alexandria via LeMat-Bulk
Functional: PBE
Structure: optimized geometry

POSCAR file:
```
KTcPt3
1.0
4.9027 0.0000 0.0000
0.0000 4.9027 0.0000
0.0000 0.0000 4.9027
K Tc Pt
1 1 3
Direct
0.5000 0.5000 0.5000
0.0000 0.0000 0.0000
0.0000 0.5000 0.0000
0.0000 0.0000 0.5000
0.5000 0.0000 0.0000
```

Density of states at the Fermi level ... 4.5 states/eV/cell
Magnetization ... 0.0 Bohr magnetons per cell
Raw total energy ... -26.17 eV for the cell shown
Calculated formation energy ... 683 meV/atom
Volume ... 23.568 Å³/atom
ΔE to the lowest computed polymorph ... 0.000 eV/atom

***

Record 9
Compound: KTc2Pt
Source: Alexandria via LeMat-Bulk
Functional: PBE
Structure: optimized geometry

POSCAR file:
```
KTc2Pt
1.0
-3.4457 4.2833 -2.2310
-5.1627 2.8350 -0.7117
-0.1131 4.0338 3.7176
K Pt Tc
1 1 2
Direct
0.2500 0.2500 0.2500
0.7500 0.7500 0.7500
0.0411 0.0411 0.8980
0.4589 0.4589 0.6020
```

Density of states at the Fermi level ... 4.9 states/eV/cell
Magnetization ... 0.0 Bohr magnetons per cell
Raw total energy ... -25.25 eV for the cell shown
Calculated formation energy ... 656 meV/atom
Volume ... 20.522 Å³/atom
ΔE to the lowest computed polymorph ... 0.244 eV/atom

***

Record 10
Compound: KTcPt
Source: Alexandria via LeMat-Bulk
Functional: PBE
Structure: optimized geometry

POSCAR file:
```
KTcPt
1.0
-2.2688 0.5210 -1.6392
7.1700 -1.8356 -10.7810
-1.3131 -3.8653 0.5889
K Tc Pt
2 2 2
Direct
0.0041 0.1378 0.6142
0.5423 0.4718 0.2753
0.0195 0.8821 0.4837
0.5282 0.7275 0.4054
0.0319 0.6585 0.8702
0.5156 0.9511 0.0189
```

Density of states at the Fermi level ... 4.2 states/eV/cell
Magnetization ... 0.0 Bohr magnetons per cell
Raw total energy ... -33.76 eV for the cell shown
Calculated formation energy ... 208 meV/atom
Volume ... 25.259 Å³/atom
ΔE to the lowest computed polymorph ... 0.069 eV/atom

***

Record 11
Compound: KTcPt
Source: Alexandria via LeMat-Bulk
Functional: PBE
Structure: optimized geometry

POSCAR file:
```
KTcPt
1.0
-0.6533 -3.8674 -1.1558
5.6873 0.1503 -3.6885
3.7709 -1.6916 3.5293
K Tc Pt
2 2 2
Direct
0.4131 0.3627 0.0273
0.9144 0.2333 0.5577
0.4142 0.8671 0.9381
0.9140 0.7612 0.1842
0.4142 0.8786 0.4208
0.9139 0.7259 0.7108
```

Density of states at the Fermi level ... 5.4 states/eV/cell
Magnetization ... 0.0 Bohr magnetons per cell
Raw total energy ... -33.21 eV for the cell shown
Calculated formation energy ... 300 meV/atom
Volume ... 24.487 Å³/atom
ΔE to the lowest computed polymorph ... 0.160 eV/atom

***

Record 12
Compound: KTcPt
Source: Alexandria via LeMat-Bulk
Functional: PBE
Structure: optimized geometry

POSCAR file:
```
KTcPt
1.0
4.1346 0.0040 0.0008
-0.0114 6.6632 0.0031
-0.0001 -1.0639 5.2973
K Tc Pt
2 2 2
Direct
0.4420 0.3777 0.5784
0.9428 0.2319 0.0345
0.4427 0.8508 0.2095
0.9426 0.7588 0.4035
0.4426 0.8861 0.7045
0.9425 0.7235 0.9085
```

Density of states at the Fermi level ... 4.8 states/eV/cell
Magnetization ... 0.0 Bohr magnetons per cell
Raw total energy ... -33.33 eV for the cell shown
Calculated formation energy ... 280 meV/atom
Volume ... 24.325 Å³/atom
ΔE to the lowest computed polymorph ... 0.141 eV/atom

***

> volume of number 5 (KTc2Pt2)?

20.466 Å³/atom